(1)
VASP calculation (GGA-PBEsol) on a relaxed BaSrI4 crystal. Values from VASP.

Geometry as Quantum ESPRESSO input:
```
&SYSTEM
  ibrav = 0, nat = 24, ntyp = 3
/
ATOMIC_SPECIES
Ba 137.33 Ba.upf
Sr 87.62 Sr.upf
I 126.90 I.upf
CELL_PARAMETERS angstrom
8.1294 0.0000 0.0000
0.0000 13.9340 0.0000
0.0000 0.0000 9.6590
ATOMIC_POSITIONS crystal
Ba 0.0000 0.1818 0.2500
Ba 0.0000 0.8182 0.7500
Ba 0.5000 0.3182 0.7500
Ba 0.5000 0.6818 0.2500
Sr 0.0000 0.5000 0.0000
Sr 0.0000 0.5000 0.5000
Sr 0.5000 0.0000 0.0000
Sr 0.5000 0.0000 0.5000
I 0.1242 0.2780 0.5547
I 0.1242 0.7220 0.0547
I 0.2377 0.0256 0.7520
I 0.2377 0.9744 0.2520
I 0.2623 0.4744 0.2520
I 0.2623 0.5256 0.7520
I 0.3758 0.2220 0.0547
I 0.3758 0.7780 0.5547
I 0.6242 0.2220 0.4453
I 0.6242 0.7780 0.9453
I 0.7377 0.4744 0.2480
I 0.7377 0.5256 0.7480
I 0.7623 0.0256 0.7480
I 0.7623 0.9744 0.2480
I 0.8758 0.2780 0.9453
I 0.8758 0.7220 0.4453
```

D(E_F) ... 0.0000 states/eV per atom
E ... -3.476 eV/atom
SG ... Pbcn (60)
Uncorrected formation energy ... -1634 meV per atom

(2)
VASP calculation (GGA-PBEsol) on a relaxed Ag5Pb crystal. Values from VASP.

Geometry as Quantum ESPRESSO input:
```
&SYSTEM
  ibrav = 0, nat = 6, ntyp = 2
/
ATOMIC_SPECIES
Ag 107.87 Ag.upf
Pb 207.20 Pb.upf
CELL_PARAMETERS angstrom
4.6970 -2.0156 0.0000
4.6970 2.0156 0.0000
-1.9527 0.0000 5.7877
ATOMIC_POSITIONS crystal
Ag 0.0000 0.0000 0.0000
Ag 0.3289 0.3289 0.1520
Ag 0.3322 0.3322 0.6819
Ag 0.6678 0.6678 0.3181
Ag 0.6711 0.6711 0.8480
Pb 0.0000 0.0000 0.5000
```

D(E_F) ... 0.2898 states/eV per atom
E ... -3.363 eV/atom
Formation energy from the elements ... 63 meV/atom
Excess energy over the best structure of this formula in the dataset ... 0.007 eV per atom
SG ... C2/m (12)